No. 1
This record from the Open Quantum Materials Database describes crystalline LuCuGeSe3 at its relaxed geometry. The functional is PBE.

Summary:
- E: -4.653 eV/atom
- Magnetic moment: 0.00 μB per formula unit
- Calculated volume: 519 Å³ per cell

Cell lengths 11.1651, 4.0508, 11.4725 Å; angles 90.00, 90.00, 90.00 degrees
Last column: nearest neighbours and their distance in Å.
Space group Pnma (No. 62)
Asymmetric unit:
Lu1 0.0168 0.2500 0.1871 x4  7 Se 2.78-3.10
Cu1 0.2420 0.7500 0.2962 x4  4 Se 2.39-2.48
Ge1 0.1739 0.2500 0.5003 x4  5 Se 2.79-2.94
Se1 0.0381 0.7500 0.3706 x4  1 Cu 2.43
Se2 0.0981 0.2500 0.9353 x4  1 Cu 2.39
Se3 0.2225 0.7500 0.6765 x4  2 Cu 2.48


No. 2
This record from the Open Quantum Materials Database describes crystalline LuCuGeSe3 at its relaxed geometry. The functional is PBE.

Summary:
- E: -4.691 eV/atom
- Magnetic moment: 0.00 μB per formula unit
- Calculated volume: 526 Å³ per cell

Cell lengths 3.8858, 13.1013, 10.3388 Å; angles 90.00, 90.00, 90.00 degrees
Last column: nearest neighbours and their distance in Å.
Space group Cmcm (No. 63)
Asymmetric unit:
Lu1 0.0000 0.0000 0.0000 x4  6 Se 2.82-2.85
Cu1 0.0000 0.4725 0.2500 x4  4 Se 2.45-2.49
Ge1 0.0000 0.2257 0.7500 x4  6 Se 2.90-3.09, 2 Cu 3.24
Se1 0.0000 0.0910 0.2500 x4  2 Cu 2.49
Se2 0.0000 0.3536 0.0676 x8  1 Cu 2.45


No. 3
This record from the Open Quantum Materials Database describes crystalline LuCuGeTe2Se at its relaxed geometry. The functional is PBE.

Summary:
- E: -4.365 eV/atom
- Magnetic moment: 0.01 μB per formula unit
- Calculated volume: 592 Å³ per cell

Cell lengths 4.0688, 14.1836, 10.2600 Å; angles 90.00, 90.00, 90.00 degrees
Last column: nearest neighbours and their distance in Å.
Space group Cmcm (No. 63)
Asymmetric unit:
Lu1 0.0000 0.0000 0.0000 x4  2 Se 2.81, 4 Te 3.04
Cu1 0.0000 0.4796 0.2500 x4  2 Se 2.49, 2 Te 2.66
Ge1 0.0000 0.2404 0.7500 x4  4 Te 3.05, 2 Se 3.25
Te1 0.0000 0.3481 0.0656 x8  1 Cu 2.66
Se1 0.0000 0.0805 0.2500 x4  2 Cu 2.49


No. 4
This record from the Open Quantum Materials Database describes crystalline Tb2LuCu4Si2Ge2 at its relaxed geometry. The functional is PBE.

Summary:
- E: -5.058 eV/atom
- Magnetic moment: 0.00 μB per formula unit
- Calculated volume: 377 Å³ per cell

Cell lengths 4.1561, 6.5621, 13.8165 Å; angles 90.00, 90.00, 90.00 degrees
Last column: nearest neighbours and their distance in Å.
Space group Immm (No. 71)
Asymmetric unit:
Tb1 0.0000 0.0000 0.1300 x4  6 Cu 2.97-2.99, 2 Si 2.99, 4 Ge 3.03
Lu1 0.0000 0.5000 0.0000 x2  4 Ge 2.88, 2 Si 2.97
Cu1 0.0000 0.1902 0.3268 x8  3 Si 2.49-2.55, 1 Cu 2.50, 1 Ge 2.51
Si1 0.0000 0.5000 0.2148 x4  6 Cu 2.49-2.55
Ge1 0.0000 0.3041 0.5000 x4  2 Cu 2.51, 1 Ge 2.57


No. 5
This record from the Open Quantum Materials Database describes crystalline Tb2LuCu4Si2Ge2 at its relaxed geometry. The functional is PBE.

Summary:
- E: -5.050 eV/atom
- Magnetic moment: 0.00 μB per formula unit
- Calculated volume: 379 Å³ per cell

Cell lengths 4.1928, 6.5577, 13.7887 Å; angles 90.00, 90.00, 90.00 degrees
Last column: nearest neighbours and their distance in Å.
Space group Immm (No. 71)
Asymmetric unit:
Tb1 0.0000 0.0000 0.1301 x4  6 Cu 2.96-3.11, 2 Ge 2.99, 4 Si 3.02
Lu1 0.0000 0.5000 0.0000 x2  4 Si 2.94, 2 Ge 2.97
Cu1 0.0000 0.1897 0.3372 x8  1 Si 2.39, 1 Cu 2.49, 3 Ge 2.54-2.64
Si1 0.0000 0.3147 0.5000 x4  2 Cu 2.39, 1 Si 2.43
Ge1 0.0000 0.5000 0.2151 x4  6 Cu 2.54-2.64


No. 6
This record from the Open Quantum Materials Database describes crystalline Tm2LuCu4Si2Ge2 at its relaxed geometry. The functional is PBE.

Summary:
- E: -5.020 eV/atom
- Magnetic moment: 0.00 μB per formula unit
- Calculated volume: 369 Å³ per cell

Cell lengths 4.1314, 6.5376, 13.6464 Å; angles 90.00, 90.00, 90.00 degrees
Last column: nearest neighbours and their distance in Å.
Space group Immm (No. 71)
Asymmetric unit:
Tm1 0.0000 0.0000 0.1287 x4  6 Cu 2.93-3.10, 2 Ge 2.96, 4 Si 2.97
Lu1 0.0000 0.5000 0.0000 x2  4 Si 2.92, 2 Ge 2.95
Cu1 0.0000 0.1914 0.3362 x8  1 Si 2.38, 1 Cu 2.50, 3 Ge 2.52-2.60
Si1 0.0000 0.3150 0.5000 x4  2 Cu 2.38, 1 Si 2.42
Ge1 0.0000 0.5000 0.2164 x4  6 Cu 2.52-2.60


No. 7
This record from the Open Quantum Materials Database describes crystalline Tm2LuCu4Si2Ge2 at its relaxed geometry. The functional is PBE.

Summary:
- E: -5.031 eV/atom
- Magnetic moment: 0.00 μB per formula unit
- Calculated volume: 367 Å³ per cell

Cell lengths 4.0956, 6.5535, 13.6637 Å; angles 90.00, 90.00, 90.00 degrees
Last column: nearest neighbours and their distance in Å.
Space group Immm (No. 71)
Asymmetric unit:
Tm1 0.0000 0.0000 0.1293 x4  6 Cu 2.94-2.96, 2 Si 2.94, 4 Ge 2.99
Lu1 0.0000 0.5000 0.0000 x2  4 Ge 2.86, 2 Si 2.95
Cu1 0.0000 0.1916 0.3256 x8  3 Si 2.47-2.52, 1 Ge 2.50, 1 Cu 2.51
Si1 0.0000 0.5000 0.2160 x4  6 Cu 2.47-2.52
Ge1 0.0000 0.3051 0.5000 x4  2 Cu 2.50, 1 Ge 2.56


No. 8
This record from the Open Quantum Materials Database describes crystalline YLu2Cu4Si2Ge2 at its relaxed geometry. The functional is PBE.

Summary:
- E: -5.223 eV/atom
- Magnetic moment: 0.01 μB per formula unit
- Calculated volume: 368 Å³ per cell

Cell lengths 4.0792, 6.5993, 13.6555 Å; angles 90.00, 90.00, 90.00 degrees
Last column: nearest neighbours and their distance in Å.
Space group Immm (No. 71)
Asymmetric unit:
Y1 0.0000 0.0000 0.0000 x2  4 Ge 2.88, 2 Si 2.97
Lu1 0.0000 0.5000 0.1292 x4  2 Si 2.92, 6 Cu 2.95-2.96, 4 Ge 2.98
Cu1 0.0000 0.3082 0.3254 x8  3 Si 2.47-2.51, 1 Ge 2.51, 1 Cu 2.53
Si1 0.0000 0.0000 0.2179 x4  6 Cu 2.47-2.51
Ge1 0.0000 0.1912 0.5000 x4  2 Cu 2.51, 1 Ge 2.52


No. 9
This record from the Open Quantum Materials Database describes crystalline YLu2Cu4Si2Ge2 at its relaxed geometry. The functional is PBE.

Summary:
- E: -5.214 eV/atom
- Magnetic moment: 0.00 μB per formula unit
- Calculated volume: 370 Å³ per cell

Cell lengths 4.1137, 6.5868, 13.6546 Å; angles 90.00, 90.00, 90.00 degrees
Last column: nearest neighbours and their distance in Å.
Space group Immm (No. 71)
Asymmetric unit:
Y1 0.0000 0.0000 0.0000 x2  4 Si 2.93, 2 Ge 2.98
Lu1 0.0000 0.5000 0.1281 x4  6 Cu 2.93-3.10, 2 Ge 2.94, 4 Si 2.96
Cu1 0.0000 0.3078 0.3352 x8  1 Si 2.40, 3 Ge 2.52-2.58, 1 Cu 2.53
Si1 0.0000 0.1828 0.5000 x4  2 Cu 2.40, 1 Si 2.41
Ge1 0.0000 0.0000 0.2184 x4  6 Cu 2.52-2.58


No. 10
This record from the Open Quantum Materials Database describes crystalline LuTaCuGe at its relaxed geometry. The functional is PBE.

Summary:
- E: -5.798 eV/atom
- Magnetic moment: 0.02 μB per formula unit
- Calculated volume: 286 Å³ per cell

Cell lengths 6.5919, 6.5919, 6.5919 Å; angles 90.00, 90.00, 90.00 degrees
Last column: nearest neighbours and their distance in Å.
Space group F-43m (No. 216)
Asymmetric unit:
Lu1 0.0000 0.0000 0.0000 x4  4 Ta 2.85, 4 Cu 2.85
Ta1 0.2500 0.2500 0.2500 x4  4 Ge 2.85, 4 Lu 2.85
Cu1 0.2500 0.2500 0.7500 x4  4 Ge 2.85, 4 Lu 2.85
Ge1 0.0000 0.0000 0.5000 x4  4 Ta 2.85, 4 Cu 2.85


No. 11
This record from the Open Quantum Materials Database describes crystalline TbLuCu2Ge2 at its relaxed geometry. The functional is PBE.

Summary:
- E: -4.977 eV/atom
- Magnetic moment: 0.00 μB per formula unit
- Calculated volume: 112 Å³ per cell

Cell lengths 4.2111, 4.2111, 7.2752 Å; angles 90.00, 90.00, 120.00 degrees
Last column: nearest neighbours and their distance in Å.
Space group P3m1 (No. 156)
Asymmetric unit:
Tb1 0.0000 0.0000 0.0000 x1  6 Cu 2.97-3.14, 6 Ge 2.98-3.12
Lu1 0.0000 0.0000 0.5006 x1  6 Cu 2.94-3.11, 6 Ge 2.96-3.10
Cu1 0.3333 0.6667 0.2339 x1  3 Ge 2.44
Cu2 0.6667 0.3333 0.7273 x1  3 Ge 2.45
Ge1 0.3333 0.6667 0.7643 x1  3 Cu 2.45
Ge2 0.6667 0.3333 0.2694 x1  3 Cu 2.44


No. 12
This record from the Open Quantum Materials Database describes crystalline Tb2LuCu4Ge4 at its relaxed geometry. The functional is PBE.

Summary:
- E: -4.904 eV/atom
- Magnetic moment: 0.00 μB per formula unit
- Calculated volume: 386 Å³ per cell

Cell lengths 4.1989, 6.6141, 13.8976 Å; angles 90.00, 90.00, 90.00 degrees
Last column: nearest neighbours and their distance in Å.
Space group Immm (No. 71)
Asymmetric unit:
Tb1 0.0000 0.0000 0.1298 x4  6 Cu 2.98-3.06, 6 Ge 3.01-3.05
Lu1 0.0000 0.5000 0.0000 x2  6 Ge 2.91-2.99
Cu1 0.0000 0.1903 0.3305 x8  4 Ge 2.47-2.60, 1 Cu 2.52
Ge1 0.0000 0.3051 0.5000 x4  2 Cu 2.47, 1 Ge 2.58
Ge2 0.0000 0.5000 0.2154 x4  6 Cu 2.53-2.60


No. 13
This record from the Open Quantum Materials Database describes crystalline TmLu2Cu4Ge4 at its relaxed geometry. The functional is PBE.

Summary:
- E: -4.869 eV/atom
- Magnetic moment: 0.00 μB per formula unit
- Calculated volume: 375 Å³ per cell

Cell lengths 4.1250, 6.6178, 13.7337 Å; angles 90.00, 90.00, 90.00 degrees
Last column: nearest neighbours and their distance in Å.
Space group Immm (No. 71)
Asymmetric unit:
Tm1 0.0000 0.0000 0.0000 x2  6 Ge 2.90-2.98
Lu1 0.0000 0.5000 0.1291 x4  6 Ge 2.95-3.00, 6 Cu 2.95-3.04
Cu1 0.0000 0.3081 0.3300 x8  4 Ge 2.46-2.56, 1 Cu 2.54
Ge1 0.0000 0.0000 0.2170 x4  6 Cu 2.51-2.56
Ge2 0.0000 0.1918 0.5000 x4  2 Cu 2.46, 1 Ge 2.54


No. 14
This record from the Open Quantum Materials Database describes crystalline Tm2LuCu4Ge4 at its relaxed geometry. The functional is PBE.

Summary:
- E: -4.868 eV/atom
- Magnetic moment: 0.00 μB per formula unit
- Calculated volume: 378 Å³ per cell

Cell lengths 4.1509, 6.6124, 13.7848 Å; angles 90.00, 90.00, 90.00 degrees
Last column: nearest neighbours and their distance in Å.
Space group Immm (No. 71)
Asymmetric unit:
Tm1 0.0000 0.0000 0.1293 x4  6 Cu 2.96-3.05, 6 Ge 2.97-3.02
Lu1 0.0000 0.5000 0.0000 x2  6 Ge 2.90-2.98
Cu1 0.0000 0.1916 0.3302 x8  4 Ge 2.46-2.57, 1 Cu 2.53
Ge1 0.0000 0.3066 0.5000 x4  2 Cu 2.46, 1 Ge 2.56
Ge2 0.0000 0.5000 0.2162 x4  6 Cu 2.51-2.57


No. 15
This record from the Open Quantum Materials Database describes crystalline LuCuGeW at its relaxed geometry. The functional is PBE.

Summary:
- E: -5.774 eV/atom
- Magnetic moment: 1.04 μB per formula unit
- Calculated volume: 285 Å³ per cell

Cell lengths 6.5777, 6.5777, 6.5777 Å; angles 90.00, 90.00, 90.00 degrees
Last column: nearest neighbours and their distance in Å.
Space group F-43m (No. 216)
Asymmetric unit:
Lu1 0.0000 0.0000 0.0000 x4  4 Ge 2.85, 4 W 2.85
Cu1 0.0000 0.0000 0.5000 x4  4 Ge 2.85, 4 W 2.85
Ge1 0.2500 0.2500 0.2500 x4  4 Cu 2.85, 4 Lu 2.85
W1 0.2500 0.2500 0.7500 x4  4 Cu 2.85, 4 Lu 2.85


No. 16
This record from the Open Quantum Materials Database describes crystalline LuCuGeW at its relaxed geometry. The functional is PBE.

Summary:
- E: -6.034 eV/atom
- Magnetic moment: 0.00 μB per formula unit
- Calculated volume: 271 Å³ per cell

Cell lengths 6.4715, 6.4715, 6.4715 Å; angles 90.00, 90.00, 90.00 degrees
Last column: nearest neighbours and their distance in Å.
Space group F-43m (No. 216)
Asymmetric unit:
Lu1 0.0000 0.0000 0.0000 x4  4 W 2.80, 4 Cu 2.80
Cu1 0.2500 0.2500 0.7500 x4  4 Ge 2.80, 4 Lu 2.80
Ge1 0.0000 0.0000 0.5000 x4  4 W 2.80, 4 Cu 2.80
W1 0.2500 0.2500 0.2500 x4  4 Ge 2.80, 4 Lu 2.80


No. 17
This record from the Open Quantum Materials Database describes crystalline Y2LuCu4Ge4 at its relaxed geometry. The functional is PBE.

Summary:
- E: -5.239 eV/atom
- Magnetic moment: 0.00 μB per formula unit
- Calculated volume: 385 Å³ per cell

Cell lengths 4.1941, 6.6159, 13.8852 Å; angles 90.00, 90.00, 90.00 degrees
Last column: nearest neighbours and their distance in Å.
Space group Immm (No. 71)
Asymmetric unit:
Y1 0.0000 0.0000 0.1295 x4  6 Cu 2.99-3.06, 6 Ge 3.01-3.05
Lu1 0.0000 0.5000 0.0000 x2  6 Ge 2.91-2.99
Cu1 0.0000 0.1900 0.3305 x8  4 Ge 2.47-2.60, 1 Cu 2.51
Ge1 0.0000 0.3049 0.5000 x4  2 Cu 2.47, 1 Ge 2.58
Ge2 0.0000 0.5000 0.2154 x4  6 Cu 2.53-2.60


No. 18
This record from the Open Quantum Materials Database describes crystalline LuZnCuGe at its relaxed geometry. The functional is PBE.

Summary:
- E: -3.763 eV/atom
- Magnetic moment: 0.00 μB per formula unit
- Calculated volume: 279 Å³ per cell

Cell lengths 6.5380, 6.5380, 6.5380 Å; angles 90.00, 90.00, 90.00 degrees
Last column: nearest neighbours and their distance in Å.
Space group F-43m (No. 216)
Asymmetric unit:
Lu1 0.0000 0.0000 0.0000 x4  4 Ge 2.83, 4 Zn 2.83
Zn1 0.2500 0.2500 0.7500 x4  4 Cu 2.83, 4 Lu 2.83
Cu1 0.0000 0.0000 0.5000 x4  4 Ge 2.83, 4 Zn 2.83
Ge1 0.2500 0.2500 0.2500 x4  4 Cu 2.83, 4 Lu 2.83


No. 19
This record from the Open Quantum Materials Database describes crystalline LuZnCuGe at its relaxed geometry. The functional is PBE.

Summary:
- E: -3.721 eV/atom
- Magnetic moment: 0.00 μB per formula unit
- Calculated volume: 277 Å³ per cell

Cell lengths 6.5178, 6.5178, 6.5178 Å; angles 90.00, 90.00, 90.00 degrees
Last column: nearest neighbours and their distance in Å.
Space group F-43m (No. 216)
Asymmetric unit:
Lu1 0.0000 0.0000 0.0000 x4  4 Cu 2.82, 4 Zn 2.82
Zn1 0.2500 0.2500 0.2500 x4  4 Ge 2.82, 4 Lu 2.82
Cu1 0.2500 0.2500 0.7500 x4  4 Ge 2.82, 4 Lu 2.82
Ge1 0.0000 0.0000 0.5000 x4  4 Cu 2.82, 4 Zn 2.82


No. 20
This record from the Open Quantum Materials Database describes crystalline Mg2Cu3Ge at its relaxed geometry. The functional is PBE.

Summary:
- E: -3.356 eV/atom
- Calculated volume: 178 Å³ per cell

Cell lengths 5.0532, 5.0532, 8.0665 Å; angles 90.00, 90.00, 120.00 degrees
Last column: nearest neighbours and their distance in Å.
Space group P6_3/mmc (No. 194)
Asymmetric unit:
Mg1 0.3333 0.6667 0.0623 x4  9 Cu 2.89-2.95, 3 Ge 2.96, 4 Mg 3.03-3.09
Cu1 0.1712 0.3423 0.7500 x6  4 Cu 2.46-2.59, 2 Ge 2.51
Ge1 0.0000 0.0000 0.0000 x2  6 Cu 2.51


No. 21
This record from the Open Quantum Materials Database describes crystalline MgCu5Ge2 at its relaxed geometry. The functional is PBE.

Summary:
- E: -3.673 eV/atom
- Calculated volume: 110 Å³ per cell

Cell lengths 4.2643, 4.2643, 6.0537 Å; angles 90.00, 90.00, 90.00 degrees
Last column: nearest neighbours and their distance in Å.
Space group P4/mmm (No. 123)
Asymmetric unit:
Mg1 0.0000 0.0000 0.0000 x1  8 Cu 2.67
Cu1 0.0000 0.5000 0.2643 x4  4 Ge 2.57-2.67, 3 Cu 2.57-2.85, 2 Mg 2.67
Cu2 0.5000 0.5000 0.5000 x1  8 Cu 2.57
Ge1 0.0000 0.0000 0.5000 x1  8 Cu 2.57
Ge2 0.5000 0.5000 0.0000 x1  8 Cu 2.67


No. 22
This record from the Open Quantum Materials Database describes crystalline Mg2CuGe at its relaxed geometry. The functional is PBE.

Summary:
- E: -2.795 eV/atom
- Calculated volume: 279 Å³ per cell

Cell lengths 6.5318, 6.5318, 6.5318 Å; angles 90.00, 90.00, 90.00 degrees
Last column: nearest neighbours and their distance in Å.
Space group F-43m (No. 216)
Asymmetric unit:
Mg1 0.0000 0.0000 0.0000 x4  4 Mg 2.83, 4 Cu 2.83
Mg2 0.2500 0.2500 0.2500 x4  4 Ge 2.83, 4 Mg 2.83
Cu1 0.2500 0.2500 0.7500 x4  4 Ge 2.83, 4 Mg 2.83
Ge1 0.0000 0.0000 0.5000 x4  4 Mg 2.83, 4 Cu 2.83


No. 23
This record from the Open Quantum Materials Database describes crystalline MgCu5Ge2 at its relaxed geometry. The functional is PBE.

Summary:
- E: -3.673 eV/atom
- Calculated volume: 110 Å³ per cell

Cell lengths 4.2579, 4.2579, 6.0521 Å; angles 90.00, 90.00, 90.00 degrees
Last column: nearest neighbours and their distance in Å.
Space group P4/mmm (No. 123)
Asymmetric unit:
Mg1 0.0000 0.0000 0.0000 x1  8 Cu 2.66
Cu1 0.0000 0.5000 0.2647 x4  3 Cu 2.56-2.85, 4 Ge 2.56-2.66, 2 Mg 2.66
Cu2 0.5000 0.5000 0.5000 x1  8 Cu 2.56
Ge1 0.0000 0.0000 0.5000 x1  8 Cu 2.56
Ge2 0.5000 0.5000 0.0000 x1  8 Cu 2.66